Version one
CoAs3F after structural relaxation. Source: Alexandria via LeMat-Bulk, functional PBE+U.

The structure belongs to space group Pm-3m (No. 221); the cell edges are 4.549, 4.549 and 4.549 Å and the angles 90.00°, 90.00° and 90.00°. The asymmetric unit holds Co at (0.000, 0.000, 0.000), As at (0.000, 0.000, 0.500) and F at (0.500, 0.500, 0.500).

For the volume, the calculation gives 94 Å³/f.u.



Version two
CoAs3F after structural relaxation. Source: Alexandria via LeMat-Bulk, functional PBE+U.

The structure belongs to space group Pm-3m (No. 221); the cell edges are 4.431, 4.431 and 4.431 Å and the angles 90.00°, 90.00° and 90.00°. The asymmetric unit holds Co at (0.000, 0.000, 0.000), As at (0.000, 0.500, 0.500) and F at (0.500, 0.500, 0.500).

For the volume, the calculation gives 87 Å³/f.u.



Most stable pick: version one. Distance to second place: 51.1 kJ/mol of atoms.